Material: ZnSiS2Cl
Method: DFT, SCAN
State: PBEsol geometry

a = 4.576 Å, b = 4.576 Å, c = 4.690 Å
α = 90.00°, β = 90.00°, γ = 90.00°
Element x y z (fractional)
1 Zn 0.000 0.000 0.000
2 Si 0.500 0.500 0.500
3 S 0.000 0.500 0.000
4 S 0.500 0.000 0.000
5 Cl 0.000 0.000 0.500

Electronic total energy ... -9.82 eV/atom
Crystal system ... tetragonal
Space-group type ... P4/mmm, No. 123


Material: ZrSiS2Cl
Method: DFT, SCAN
State: PBEsol geometry

a = 4.552 Å, b = 4.552 Å, c = 4.411 Å
α = 90.00°, β = 90.00°, γ = 90.00°
Element x y z (fractional)
1 Zr 0.000 0.000 0.000
2 Si 0.500 0.500 0.500
3 S 0.000 0.500 0.500
4 S 0.500 0.000 0.500
5 Cl 0.500 0.500 0.000

Electronic total energy ... -13.79 eV/atom
Crystal system ... tetragonal
Excess energy over the best structure of this formula in the dataset ... 261.1 meV/atom
Space-group type ... P4/mmm, No. 123


Material: ZrSiS2Cl
Method: DFT, SCAN
State: PBEsol geometry

a = 4.934 Å, b = 4.934 Å, c = 4.849 Å
α = 90.00°, β = 90.00°, γ = 90.00°
Element x y z (fractional)
1 Zr 0.000 0.000 0.000
2 Si 0.500 0.500 0.500
3 S 0.000 0.500 0.000
4 S 0.500 0.000 0.000
5 Cl 0.000 0.000 0.500

Electronic total energy ... -14.05 eV/atom
Crystal system ... tetragonal
Excess energy over the best structure of this formula in the dataset ... 0.0 meV/atom
Space-group type ... P4/mmm, No. 123


Material: TiSnSCl2
Method: DFT, SCAN
State: PBEsol geometry

a = 4.701 Å, b = 4.701 Å, c = 4.798 Å
α = 90.00°, β = 90.00°, γ = 90.00°
Element x y z (fractional)
1 Ti 0.000 0.000 0.000
2 Sn 0.500 0.500 0.500
3 S 0.000 0.000 0.500
4 Cl 0.000 0.500 0.000
5 Cl 0.500 0.000 0.000

Electronic total energy ... -16.33 eV/atom
Crystal system ... tetragonal
Space-group type ... P4/mmm, No. 123


Material: TlSnSCl2
Method: DFT, SCAN
State: PBEsol geometry

a = 5.224 Å, b = 5.224 Å, c = 5.078 Å
α = 90.00°, β = 90.00°, γ = 90.00°
Element x y z (fractional)
1 Tl 0.000 0.000 0.000
2 Sn 0.500 0.500 0.500
3 S 0.000 0.000 0.500
4 Cl 0.000 0.500 0.000
5 Cl 0.500 0.000 0.000

Electronic total energy ... -26.93 eV/atom
Crystal system ... tetragonal
Space-group type ... P4/mmm, No. 123


Material: ZnSnSCl2
Method: DFT, SCAN
State: PBEsol geometry

a = 4.665 Å, b = 4.665 Å, c = 4.882 Å
α = 90.00°, β = 90.00°, γ = 90.00°
Element x y z (fractional)
1 Zn 0.000 0.000 0.000
2 Sn 0.500 0.500 0.500
3 S 0.000 0.000 0.500
4 Cl 0.000 0.500 0.000
5 Cl 0.500 0.000 0.000

Electronic total energy ... -15.59 eV/atom
Crystal system ... tetragonal
Space-group type ... P4/mmm, No. 123


Material: SrTiS2Cl
Method: DFT, SCAN
State: PBEsol geometry

a = 4.759 Å, b = 4.759 Å, c = 4.686 Å
α = 90.00°, β = 90.00°, γ = 90.00°
Element x y z (fractional)
1 Sr 0.000 0.000 0.000
2 Ti 0.500 0.500 0.500
3 S 0.000 0.500 0.500
4 S 0.500 0.000 0.500
5 Cl 0.500 0.500 0.000

Electronic total energy ... -14.94 eV/atom
Crystal system ... tetragonal
Space-group type ... P4/mmm, No. 123


Material: SrWS2Cl
Method: DFT, SCAN
State: PBEsol geometry

a = 4.655 Å, b = 4.655 Å, c = 4.976 Å
α = 90.00°, β = 90.00°, γ = 90.00°
Element x y z (fractional)
1 Sr 0.000 0.000 0.000
2 W 0.500 0.500 0.500
3 S 0.000 0.500 0.500
4 S 0.500 0.000 0.500
5 Cl 0.500 0.500 0.000

Electronic total energy ... -24.79 eV/atom
Crystal system ... tetragonal
Space-group type ... P4/mmm, No. 123


Material: Ta2SCl
Method: DFT, SCAN
State: PBEsol geometry

a = 5.634 Å, b = 5.634 Å, c = 5.634 Å
α = 106.18°, β = 106.18°, γ = 116.27°
Element x y z (fractional)
1 Ta 0.098 0.125 0.473
2 Ta 0.375 0.902 0.027
3 Ta 0.652 0.625 0.527
4 Ta 0.875 0.348 0.973
5 S 0.000 0.000 0.000
6 S 0.750 0.250 0.500
7 Cl 0.250 0.750 0.500
8 Cl 0.500 0.500 0.000

Electronic total energy ... -37.33 eV/atom
Crystal system ... tetragonal
Excess energy over the best structure of this formula in the dataset ... 139.5 meV/atom
Space-group type ... I-42d, No. 122


Material: Ta2SCl
Method: DFT, SCAN
State: PBEsol geometry

a = 4.339 Å, b = 4.339 Å, c = 4.339 Å
α = 60.00°, β = 60.00°, γ = 60.00°
Element x y z (fractional)
1 Ta 0.250 0.250 0.250
2 Ta 0.750 0.750 0.750
3 S 0.000 0.000 0.000
4 Cl 0.500 0.500 0.500

Electronic total energy ... -37.47 eV/atom
Crystal system ... cubic
Excess energy over the best structure of this formula in the dataset ... 0.0 meV/atom
Space-group type ... Fm-3m, No. 225


Material: TaTcS2Cl
Method: DFT, SCAN
State: PBEsol geometry

a = 4.519 Å, b = 4.519 Å, c = 4.565 Å
α = 90.00°, β = 90.00°, γ = 90.00°
Element x y z (fractional)
1 Ta 0.000 0.000 0.000
2 Tc 0.500 0.500 0.500
3 S 0.000 0.500 0.500
4 S 0.500 0.000 0.500
5 Cl 0.500 0.500 0.000

Electronic total energy ... -24.99 eV/atom
Crystal system ... tetragonal
Space-group type ... P4/mmm, No. 123


Material: YTaS2Cl
Method: DFT, SCAN
State: PBEsol geometry

a = 5.142 Å, b = 5.142 Å, c = 4.875 Å
α = 90.00°, β = 90.00°, γ = 90.00°
Element x y z (fractional)
1 Y 0.000 0.000 0.000
2 Ta 0.500 0.500 0.500
3 S 0.000 0.500 0.000
4 S 0.500 0.000 0.000
5 Cl 0.000 0.000 0.500

Electronic total energy ... -24.49 eV/atom
Crystal system ... tetragonal
Space-group type ... P4/mmm, No. 123


Material: TaZnSCl2
Method: DFT, SCAN
State: PBEsol geometry

a = 4.823 Å, b = 4.823 Å, c = 4.724 Å
α = 90.00°, β = 90.00°, γ = 90.00°
Element x y z (fractional)
1 Ta 0.000 0.000 0.000
2 Zn 0.500 0.500 0.500
3 S 0.000 0.000 0.500
4 Cl 0.000 0.500 0.000
5 Cl 0.500 0.000 0.000

Electronic total energy ... -21.59 eV/atom
Crystal system ... tetragonal
Space-group type ... P4/mmm, No. 123


Material: ZnTeS2Cl
Method: DFT, SCAN
State: PBEsol geometry

a = 4.703 Å, b = 4.703 Å, c = 4.523 Å
α = 90.00°, β = 90.00°, γ = 90.00°
Element x y z (fractional)
1 Zn 0.000 0.000 0.000
2 Te 0.500 0.500 0.500
3 S 0.000 0.500 0.000
4 S 0.500 0.000 0.000
5 Cl 0.000 0.000 0.500

Electronic total energy ... -15.47 eV/atom
Crystal system ... tetragonal
Space-group type ... P4/mmm, No. 123


Material: Ti2SCl12
Method: DFT, SCAN
State: PBEsol geometry

a = 13.706 Å, b = 13.706 Å, c = 13.706 Å
α = 103.55°, β = 103.55°, γ = 103.55°
Element x y z (fractional)
1 Ti 0.017 0.856 0.679
2 Ti 0.144 0.321 0.983
3 Ti 0.175 0.349 0.511
4 Ti 0.321 0.983 0.144
5 Ti 0.349 0.511 0.175
6 Ti 0.489 0.825 0.651
7 Ti 0.511 0.175 0.349
8 Ti 0.651 0.489 0.825
9 Ti 0.679 0.017 0.856
10 Ti 0.825 0.651 0.489
11 Ti 0.856 0.679 0.017
12 Ti 0.983 0.144 0.321
13 S 0.160 0.544 0.829
14 S 0.171 0.840 0.456
15 S 0.456 0.171 0.840
16 S 0.544 0.829 0.160
17 S 0.829 0.160 0.544
18 S 0.840 0.456 0.171
19 Cl 0.027 0.032 0.212
20 Cl 0.027 0.376 0.879
21 Cl 0.027 0.709 0.536
22 Cl 0.032 0.212 0.027
23 Cl 0.038 0.542 0.713
24 Cl 0.046 0.851 0.353
25 Cl 0.118 0.292 0.318
26 Cl 0.121 0.973 0.624
27 Cl 0.133 0.158 0.472
28 Cl 0.144 0.830 0.793
29 Cl 0.149 0.647 0.954
30 Cl 0.158 0.472 0.133
31 Cl 0.169 0.509 0.510
32 Cl 0.170 0.207 0.856
33 Cl 0.182 0.363 0.680
34 Cl 0.200 0.717 0.367
35 Cl 0.207 0.856 0.170
36 Cl 0.212 0.027 0.032
37 Cl 0.283 0.633 0.800
38 Cl 0.287 0.962 0.458
39 Cl 0.291 0.464 0.973
40 Cl 0.292 0.318 0.118
41 Cl 0.318 0.118 0.292
42 Cl 0.320 0.818 0.637
43 Cl 0.341 0.368 0.526
44 Cl 0.353 0.046 0.851
45 Cl 0.363 0.680 0.182
46 Cl 0.367 0.200 0.717
47 Cl 0.368 0.526 0.341
48 Cl 0.376 0.879 0.027
49 Cl 0.458 0.287 0.962
50 Cl 0.464 0.973 0.291
51 Cl 0.472 0.133 0.158
52 Cl 0.474 0.659 0.632
53 Cl 0.490 0.831 0.491
54 Cl 0.491 0.490 0.831
55 Cl 0.509 0.510 0.169
56 Cl 0.510 0.169 0.509
57 Cl 0.526 0.341 0.368
58 Cl 0.528 0.867 0.842
59 Cl 0.536 0.027 0.709
60 Cl 0.542 0.713 0.038
61 Cl 0.624 0.121 0.973
62 Cl 0.632 0.474 0.659
63 Cl 0.633 0.800 0.283
64 Cl 0.637 0.320 0.818
65 Cl 0.647 0.954 0.149
66 Cl 0.659 0.632 0.474
67 Cl 0.680 0.182 0.363
68 Cl 0.682 0.882 0.708
69 Cl 0.708 0.682 0.882
70 Cl 0.709 0.536 0.027
71 Cl 0.713 0.038 0.542
72 Cl 0.717 0.367 0.200
73 Cl 0.788 0.973 0.968
74 Cl 0.793 0.144 0.830
75 Cl 0.800 0.283 0.633
76 Cl 0.818 0.637 0.320
77 Cl 0.830 0.793 0.144
78 Cl 0.831 0.491 0.490
79 Cl 0.842 0.528 0.867
80 Cl 0.851 0.353 0.046
81 Cl 0.856 0.170 0.207
82 Cl 0.867 0.842 0.528
83 Cl 0.879 0.027 0.376
84 Cl 0.882 0.708 0.682
85 Cl 0.954 0.149 0.647
86 Cl 0.962 0.458 0.287
87 Cl 0.968 0.788 0.973
88 Cl 0.973 0.291 0.464
89 Cl 0.973 0.624 0.121
90 Cl 0.973 0.968 0.788

Electronic total energy ... -10.39 eV/atom
Crystal system ... trigonal
Space-group type ... R-3, No. 148


Material: TiSCl
Method: DFT, SCAN
State: PBEsol geometry

a = 3.362 Å, b = 4.755 Å, c = 7.326 Å
α = 90.00°, β = 90.00°, γ = 90.00°
Element x y z (fractional)
1 Ti 0.250 0.250 0.105
2 Ti 0.750 0.750 0.895
3 S 0.250 0.750 0.132
4 S 0.750 0.250 0.868
5 Cl 0.250 0.750 0.656
6 Cl 0.750 0.250 0.344

Electronic total energy ... -12.89 eV/atom
Crystal system ... orthorhombic
Space-group type ... Pmmn, No. 59


Material: TiZnS2Cl
Method: DFT, SCAN
State: PBEsol geometry

a = 4.599 Å, b = 4.599 Å, c = 4.596 Å
α = 90.00°, β = 90.00°, γ = 90.00°
Element x y z (fractional)
1 Ti 0.000 0.000 0.000
2 Zn 0.500 0.500 0.500
3 S 0.000 0.500 0.500
4 S 0.500 0.000 0.500
5 Cl 0.500 0.500 0.000

Electronic total energy ... -11.53 eV/atom
Crystal system ... tetragonal
Space-group type ... P4/mmm, No. 123


Material: ZrTiSCl2
Method: DFT, SCAN
State: PBEsol geometry

a = 4.582 Å, b = 4.582 Å, c = 4.772 Å
α = 90.00°, β = 90.00°, γ = 90.00°
Element x y z (fractional)
1 Zr 0.000 0.000 0.000
2 Ti 0.500 0.500 0.500
3 S 0.500 0.500 0.000
4 Cl 0.000 0.500 0.500
5 Cl 0.500 0.000 0.500

Electronic total energy ... -15.16 eV/atom
Crystal system ... tetragonal
Space-group type ... P4/mmm, No. 123


Material: Tl3SCl
Method: DFT, SCAN
State: PBEsol geometry

a = 5.637 Å, b = 5.637 Å, c = 5.637 Å
α = 90.00°, β = 90.00°, γ = 90.00°
Element x y z (fractional)
1 Tl 0.000 0.000 0.500
2 Tl 0.000 0.500 0.000
3 Tl 0.500 0.000 0.000
4 S 0.500 0.500 0.500
5 Cl 0.000 0.000 0.000

Electronic total energy ... -47.03 eV/atom
Crystal system ... cubic
Space-group type ... Pm-3m, No. 221


Material: TlSCl3
Method: DFT, SCAN
State: PBEsol geometry

a = 4.913 Å, b = 4.913 Å, c = 4.913 Å
α = 90.00°, β = 90.00°, γ = 90.00°
Element x y z (fractional)
1 Tl 0.000 0.000 0.000
2 S 0.500 0.500 0.500
3 Cl 0.000 0.500 0.500
4 Cl 0.500 0.000 0.500
5 Cl 0.500 0.500 0.000

Electronic total energy ... -21.53 eV/atom
Crystal system ... cubic
Space-group type ... Pm-3m, No. 221